# 1
{"formula": "PHPd2N", "functional": "PBE", "state": "optimized geometry", "cell": [[4.049, 0.000, 0.000], [0.000, 4.049, 0.000], [0.000, 0.000, 3.450]], "species": ["P", "H", "Pd", "Pd", "N"], "frac_coords": [[0.000, 0.000, 0.000], [0.000, 0.000, 0.500], [0.000, 0.500, 0.500], [0.500, 0.000, 0.500], [0.500, 0.500, 0.000]], "dft_energy_ev_per_atom": -4.508, "dos_at_fermi_per_ev_fu": 2.8, "space_group": "P4/mmm, No. 123"}



# 2
{"formula": "PmPHN3", "functional": "PBE", "state": "optimized geometry", "cell": [[5.011, -3.119, 0.000], [5.011, 3.119, 0.000], [-1.341, 0.000, 5.566]], "species": ["Pm", "Pm", "P", "P", "H", "H", "N", "N", "N", "N", "N", "N"], "frac_coords": [[0.234, 0.234, 0.310], [0.766, 0.766, 0.690], [0.444, 0.444, 0.792], [0.556, 0.556, 0.208], [0.275, 0.725, 0.500], [0.725, 0.275, 0.500], [0.192, 0.613, 0.622], [0.387, 0.808, 0.378], [0.388, 0.388, 0.046], [0.612, 0.612, 0.954], [0.613, 0.192, 0.622], [0.808, 0.387, 0.378]], "dft_energy_ev_per_atom": -7.145, "dos_at_fermi_per_ev_fu": 0.0, "space_group": "C2/m, No. 12"}



# 3
{"formula": "SbPHN2", "functional": "PBE", "state": "optimized geometry", "cell": [[3.318, 0.000, 0.000], [0.000, 3.318, 0.000], [0.000, 0.000, 5.735]], "species": ["Sb", "P", "H", "N", "N"], "frac_coords": [[0.000, 0.000, 0.000], [0.000, 0.000, 0.500], [0.500, 0.500, 0.000], [0.000, 0.500, 0.500], [0.500, 0.000, 0.500]], "dft_energy_ev_per_atom": -4.974, "dos_at_fermi_per_ev_fu": 2.4, "space_group": "P4/mmm, No. 123"}



# 4
{"formula": "Sr6P2HN", "functional": "PBE", "state": "optimized geometry", "cell": [[6.916, 0.000, 0.000], [0.000, 8.063, 0.000], [-6.732, 0.000, 9.795]], "species": ["Sr", "Sr", "Sr", "Sr", "Sr", "Sr", "Sr", "Sr", "Sr", "Sr", "Sr", "Sr", "P", "P", "P", "P", "H", "H", "N", "N"], "frac_coords": [[0.125, 0.035, 0.245], [0.125, 0.465, 0.745], [0.217, 0.705, 0.056], [0.217, 0.795, 0.556], [0.370, 0.163, 0.060], [0.370, 0.337, 0.560], [0.630, 0.663, 0.440], [0.630, 0.837, 0.940], [0.783, 0.205, 0.444], [0.783, 0.295, 0.944], [0.875, 0.535, 0.255], [0.875, 0.965, 0.755], [0.299, 0.111, 0.746], [0.299, 0.389, 0.246], [0.701, 0.611, 0.754], [0.701, 0.889, 0.254], [0.500, 0.000, 0.500], [0.500, 0.500, 0.000], [0.000, 0.000, 0.000], [0.000, 0.500, 0.500]], "dft_energy_ev_per_atom": -3.988, "dos_at_fermi_per_ev_fu": 1.3, "space_group": "P2_1/c, No. 14"}



# 5
{"formula": "TaP2HN6", "functional": "PBE", "state": "optimized geometry", "cell": [[4.807, -4.752, 0.000], [4.807, 4.752, 0.000], [-2.524, 0.000, 4.484]], "species": ["Ta", "Ta", "P", "P", "P", "P", "H", "H", "N", "N", "N", "N", "N", "N", "N", "N", "N", "N", "N", "N"], "frac_coords": [[0.117, 0.883, 0.750], [0.883, 0.117, 0.250], [0.245, 0.423, 0.855], [0.423, 0.245, 0.355], [0.577, 0.755, 0.645], [0.755, 0.577, 0.145], [0.250, 0.750, 0.250], [0.750, 0.250, 0.750], [0.097, 0.202, 0.671], [0.180, 0.661, 0.946], [0.202, 0.097, 0.171], [0.339, 0.820, 0.554], [0.412, 0.419, 0.676], [0.419, 0.412, 0.176], [0.581, 0.588, 0.824], [0.588, 0.581, 0.324], [0.661, 0.180, 0.446], [0.798, 0.903, 0.829], [0.820, 0.339, 0.054], [0.903, 0.798, 0.329]], "dft_energy_ev_per_atom": -7.847, "space_group": "C2/c, No. 15"}



# 6
{"formula": "PaH12N6", "functional": "PBE", "state": "optimized geometry", "cell": [[3.091, 1.785, 5.940], [-3.091, 1.785, 5.940], [0.000, -3.569, 5.940]], "species": ["Pa", "H", "H", "H", "H", "H", "H", "H", "H", "H", "H", "H", "H", "N", "N", "N", "N", "N", "N"], "frac_coords": [[0.000, 0.000, 0.000], [0.002, 0.357, 0.449], [0.130, 0.848, 0.423], [0.152, 0.577, 0.870], [0.357, 0.449, 0.002], [0.423, 0.130, 0.848], [0.449, 0.002, 0.357], [0.551, 0.998, 0.643], [0.577, 0.870, 0.152], [0.643, 0.551, 0.998], [0.848, 0.423, 0.130], [0.870, 0.152, 0.577], [0.998, 0.643, 0.551], [0.037, 0.804, 0.391], [0.196, 0.609, 0.963], [0.391, 0.037, 0.804], [0.609, 0.963, 0.196], [0.804, 0.391, 0.037], [0.963, 0.196, 0.609]], "dft_energy_ev_per_atom": -5.585, "dos_at_fermi_per_ev_fu": 2.5, "space_group": "R-3, No. 148"}



# 7
{"formula": "Pa2HN", "functional": "PBE", "state": "optimized geometry", "cell": [[3.020, 0.000, 0.000], [0.000, 3.020, 0.000], [0.000, 0.000, 5.976]], "species": ["Pa", "Pa", "H", "N"], "frac_coords": [[0.000, 0.000, 0.249], [0.000, 0.000, 0.751], [0.500, 0.500, 0.000], [0.500, 0.500, 0.500]], "polymorph_energy_ev_per_fu": 2.603, "dft_energy_ev_per_atom": -7.835, "dos_at_fermi_per_ev_fu": 3.5, "space_group": "P4/mmm, No. 123"}



# 8
{"formula": "Pa2HN", "functional": "PBE", "state": "optimized geometry", "cell": [[1.661, 0.959, 6.244], [-1.661, 0.959, 6.244], [0.000, -1.918, 6.244]], "species": ["Pa", "Pa", "H", "N"], "frac_coords": [[0.247, 0.247, 0.247], [0.753, 0.753, 0.753], [0.000, 0.000, 0.000], [0.500, 0.500, 0.500]], "polymorph_energy_ev_per_fu": 0.000, "dft_energy_ev_per_atom": -8.486, "dos_at_fermi_per_ev_fu": 4.8, "space_group": "R-3m, No. 166"}



# 9
{"formula": "PaHN", "functional": "PBE", "state": "optimized geometry", "cell": [[0.000, 2.669, 2.669], [2.669, 0.000, 2.669], [2.669, 2.669, 0.000]], "species": ["Pa", "H", "N"], "frac_coords": [[0.000, 0.000, 0.000], [0.500, 0.500, 0.500], [0.750, 0.750, 0.750]], "polymorph_energy_ev_per_fu": 1.337, "dft_energy_ev_per_atom": -7.718, "dos_at_fermi_per_ev_fu": 0.4, "space_group": "F-43m, No. 216"}



# 10
{"formula": "PaHN", "functional": "PBE", "state": "optimized geometry", "cell": [[-1.583, 1.583, 3.320], [1.583, -1.583, 3.320], [1.583, 1.583, -3.320]], "species": ["Pa", "H", "N"], "frac_coords": [[0.000, 0.000, 0.000], [0.332, 0.332, 0.000], [0.654, 0.654, 0.000]], "polymorph_energy_ev_per_fu": 0.779, "dft_energy_ev_per_atom": -7.903, "dos_at_fermi_per_ev_fu": 2.5, "space_group": "I4mm, No. 107"}



# 11
{"formula": "PaHN", "functional": "PBE", "state": "optimized geometry", "cell": [[0.000, 2.701, 2.701], [2.701, 0.000, 2.701], [2.701, 2.701, 0.000]], "species": ["Pa", "H", "N"], "frac_coords": [[0.000, 0.000, 0.000], [0.750, 0.750, 0.750], [0.250, 0.250, 0.250]], "polymorph_energy_ev_per_fu": 0.000, "dft_energy_ev_per_atom": -8.163, "dos_at_fermi_per_ev_fu": 3.5, "space_group": "F-43m, No. 216"}



# 12
{"formula": "PaHN", "functional": "PBE", "state": "optimized geometry", "cell": [[3.560, 0.000, 0.000], [-1.780, 3.083, 0.000], [0.000, 0.000, 3.147]], "species": ["Pa", "H", "N"], "frac_coords": [[0.000, 0.000, 0.000], [0.333, 0.667, 0.000], [0.667, 0.333, 0.500]], "polymorph_energy_ev_per_fu": 0.965, "dft_energy_ev_per_atom": -7.841, "dos_at_fermi_per_ev_fu": 1.8, "space_group": "P-6m2, No. 187"}



| no. | volume (A^3/atom) |
| --- | --- |
| 1 | 11.31 |
| 2 | 14.50 |
| 3 | 12.62 |
| 4 | 27.31 |
| 5 | 10.24 |
| 6 | 10.35 |
| 7 | 13.62 |
| 8 | 14.92 |
| 9 | 12.67 |
| 10 | 11.09 |
| 11 | 13.13 |
| 12 | 11.51 |